Density functional theory data (PBE-GGA) for a relaxed structure of BaZrNO.

Output
* ρ: 5290 kg/m³
* calculated total energy: -7.560 eV/atom
* total magnetization: 0.00 μB per formula unit

a b c (Å): 6.523 8.249 6.033
angles (deg): 90.00 90.00 90.00
Fractional coordinates of all 16 atoms:
Ba (0.055, 0.143, 0.000)
Ba (0.445, 0.143, 0.500)
Ba (0.555, 0.857, 0.000)
Ba (0.945, 0.857, 0.500)
Zr (0.085, 0.598, 0.987)
Zr (0.415, 0.598, 0.487)
Zr (0.585, 0.402, 0.987)
Zr (0.915, 0.402, 0.487)
N (0.031, 0.183, 0.506)
N (0.469, 0.183, 0.006)
N (0.531, 0.817, 0.506)
N (0.969, 0.817, 0.006)
O (0.115, 0.577, 0.639)
O (0.385, 0.577, 0.139)
O (0.615, 0.423, 0.639)
O (0.885, 0.423, 0.139)